KZr2In, relaxed, DFT PBE; energy relative to the elements = 0.36 eV/atom; E_tot = -4.871 eV per atom
1.0
6.536 -1.578 0.000
6.536 1.578 0.000
-2.007 0.000 5.300
K Zr In
1 2 1
Cartesian
0.000 0.000 0.000 K
1.466 0.000 3.743 Zr
9.599 0.000 1.557 Zr
5.533 0.000 2.650 In

---

KZr2In, relaxed, DFT PBE; energy relative to the elements = 0.39 eV/atom; E_tot = -4.844 eV per atom
1.0
3.129 0.000 0.000
0.000 5.344 0.000
-0.972 0.000 6.876
K Zr In
1 2 1
Cartesian
0.000 0.000 0.000 K
0.208 2.672 4.666 Zr
1.948 2.672 2.210 Zr
1.078 0.000 3.438 In

---

K4ZrIn, relaxed, DFT PBE; energy relative to the elements = 0.81 eV/atom; E_tot = -1.801 eV per atom
1.0
0.000 5.015 5.015
5.015 0.000 5.015
5.015 5.015 0.000
K Zr In
4 1 1
Cartesian
3.768 3.768 3.768 K
6.263 6.263 3.768 K
6.263 3.768 6.263 K
3.768 6.263 6.263 K
0.000 0.000 0.000 Zr
7.523 7.523 7.523 In

---

KZrIn3, relaxed, DFT PBE; E above lowest polymorph = 0 meV/atom; energy relative to the elements = 0.22 eV/atom; E_tot = -3.354 eV per atom
1.0
5.696 0.000 0.000
0.000 5.696 0.000
0.000 0.000 5.696
K Zr In
1 1 3
Cartesian
0.000 0.000 0.000 K
2.848 2.848 2.848 Zr
0.000 2.848 2.848 In
2.848 0.000 2.848 In
2.848 2.848 0.000 In